# 1
Entry from the Alexandria database: a relaxed LiPr2Cl crystal (GGA-PBE).

## Properties
E_form (uncorrected)   -0.454 eV per atom
Fermi-level density of states   5.331 states/eV/f.u.
Raw total energy   -45.4 eV per cell
Volume   30.514 Å³ per atom
Crystal system   trigonal

Lattice parameters (Å, degrees): 3.5278 3.5278 33.9737 90.00 90.00 120.00
Space group R-3m (No. 166, hexagonal axes)
Inequivalent atoms, fractional coordinates:
Li: 0.0000 0.0000 0.0000
Pr: 0.0000 0.0000 0.0988
Cl: 0.0000 0.0000 0.5000



# 2
Entry from the Alexandria database: a relaxed Li3PrCl6 crystal (GGA-PBE).

## Properties
E_form (uncorrected)   -1.894 eV per atom
Fermi-level density of states   0.000 states/eV/f.u.
Raw total energy   -81.1 eV per cell
Volume   24.454 Å³ per atom
Crystal system   orthorhombic

Lattice parameters (Å, degrees): 8.500 12.997 4.427 90.00 90.00 90.00
Space group Cmmm (No. 65)
Inequivalent atoms, fractional coordinates:
Li: 0.000 0.000 0.000
Li: 0.250 0.250 0.500
Pr: 0.000 0.500 0.000
Cl: 0.000 0.359 0.500
Cl: 0.209 0.125 0.000



# 3
Entry from the Alexandria database: a relaxed RbLiPr2Cl8 crystal (GGA-PBE).

## Properties
E_form (uncorrected)   -2.104 eV per atom
Fermi-level density of states   0.000 states/eV/f.u.
Raw total energy   -52.5 eV per cell
Volume   33.851 Å³ per atom
Crystal system   monoclinic

Lattice parameters (Å, degrees): 6.820 8.730 6.876 90.00 97.09 90.00
Space group P2/m (No. 10)
Inequivalent atoms, fractional coordinates:
Rb: 0.000 0.000 0.000
Li: 0.000 0.500 0.000
Pr: 0.500 0.260 0.500
Cl: 0.211 0.294 0.193
Cl: 0.310 0.500 0.673
Cl: 0.320 0.000 0.658



# 4
Entry from the Alexandria database: a relaxed RbLi2PrCl6 crystal (GGA-PBE).

## Properties
E_form (uncorrected)   -2.005 eV per atom
Fermi-level density of states   0.000 states/eV/f.u.
Raw total energy   -122.1 eV per cell
Volume   27.034 Å³ per atom
Crystal system   trigonal

Lattice parameters (Å, degrees): 7.0223 7.0223 18.9929 90.00 90.00 120.00
Space group R3 (No. 146, hexagonal axes)
Inequivalent atoms, fractional coordinates:
Rb: 0.0000 0.0000 0.0000
Li: 0.0000 0.0000 0.2678
Li: 0.0000 0.0000 0.7751
Pr: 0.0000 0.0000 0.4742
Cl: 0.0084 0.5604 0.0388
Cl: 0.0323 0.3393 0.8659



# 5
Entry from the Alexandria database: a relaxed Rb2Li2PrCl6 crystal (GGA-PBE).

## Properties
E_form (uncorrected)   -1.807 eV per atom
Fermi-level density of states   2.589 states/eV/f.u.
Raw total energy   -41.5 eV per cell
Volume   29.831 Å³ per atom
Crystal system   trigonal

Lattice parameters (Å, degrees): 7.0498 7.0498 7.6240 90.00 90.00 120.00
Space group P-31m (No. 162)
Inequivalent atoms, fractional coordinates:
Rb: 0.3333 0.6667 0.0000
Li: 0.3333 0.6667 0.5000
Pr: 0.0000 0.0000 0.5000
Cl: 0.0000 0.3596 0.3157



# 6
Entry from the Alexandria database: a relaxed LiPr3Se2Cl6 crystal (GGA-PBE).

## Properties
E_form (uncorrected)   -2.001 eV per atom
Fermi-level density of states   0.000 states/eV/f.u.
Raw total energy   -116.6 eV per cell
Volume   30.929 Å³ per atom
Crystal system   monoclinic

Lattice parameters (Å, degrees): 13.953 8.432 6.311 90.00 91.39 90.00
Space group C2/m (No. 12)
Inequivalent atoms, fractional coordinates:
Li: 0.000 0.000 0.000
Pr: 0.000 0.500 0.500
Pr: 0.250 0.250 0.000
Se: 0.178 0.500 0.269
Cl: 0.076 0.251 0.759
Cl: 0.155 0.000 0.209



# 7
Entry from the Alexandria database: a relaxed LiPrTl2Cl6 crystal (GGA-PBE).

## Properties
E_form (uncorrected)   -1.680 eV per atom
Fermi-level density of states   0.000 states/eV/f.u.
Raw total energy   -78.6 eV per cell
Volume   29.200 Å³ per atom
Crystal system   monoclinic

Lattice parameters (Å, degrees): 7.357 7.584 12.756 90.00 124.86 90.00
Space group P2_1/c (No. 14)
Inequivalent atoms, fractional coordinates:
Li: 0.000 0.000 0.000
Pr: 0.500 0.000 0.500
Tl: 0.233 0.060 0.748
Cl: 0.157 0.210 0.459
Cl: 0.250 0.702 0.459
Cl: 0.322 0.017 0.242



# 8
Entry from the Alexandria database: a relaxed Li2PrTlCl6 crystal (GGA-PBE).

## Properties
E_form (uncorrected)   -1.812 eV per atom
Fermi-level density of states   0.000 states/eV/f.u.
Raw total energy   -120.5 eV per cell
Volume   26.565 Å³ per atom
Crystal system   trigonal

Lattice parameters (Å, degrees): 7.0121 7.0121 18.7132 90.00 90.00 120.00
Space group R3 (No. 146, hexagonal axes)
Inequivalent atoms, fractional coordinates:
Li: 0.0000 0.0000 0.0000
Li: 0.0000 0.0000 0.4957
Pr: 0.0000 0.0000 0.7960
Tl: 0.0000 0.0000 0.2731
Cl: 0.0029 0.3654 0.7371
Cl: 0.1050 0.7628 0.5655



# 9
Entry from the Alexandria database: a relaxed Li2PtCl crystal (GGA-PBE).

## Properties
E_form (uncorrected)   -0.908 eV per atom
Fermi-level density of states   0.485 states/eV/f.u.
Raw total energy   -46.0 eV per cell
Volume   14.891 Å³ per atom
Crystal system   trigonal

Lattice parameters (Å, degrees): 3.0791 3.0791 21.7634 90.00 90.00 120.00
Space group R-3m (No. 166, hexagonal axes)
Inequivalent atoms, fractional coordinates:
Li: 0.0000 0.0000 0.2397
Pt: 0.0000 0.0000 0.0000
Cl: 0.0000 0.0000 0.5000



# 10
Entry from the Alexandria database: a relaxed Li2PtCl crystal (GGA-PBE).

## Properties
E_form (uncorrected)   -0.630 eV per atom
Fermi-level density of states   1.511 states/eV/f.u.
Raw total energy   -28.5 eV per cell
Volume   15.676 Å³ per atom
Crystal system   monoclinic

Lattice parameters (Å, degrees): 9.872 2.955 4.377 90.00 100.85 90.00
Space group Cm (No. 8)
Inequivalent atoms, fractional coordinates:
Li: 0.000 0.000 0.000
Li: 0.193 0.000 0.600
Pt: 0.244 0.500 0.117
Cl: 0.471 0.000 0.532



# 11
Entry from the Alexandria database: a relaxed Li2PtCl crystal (GGA-PBE).

## Properties
E_form (uncorrected)   -0.860 eV per atom
Fermi-level density of states   0.238 states/eV/f.u.
Raw total energy   -30.3 eV per cell
Volume   15.095 Å³ per atom
Crystal system   orthorhombic

Lattice parameters (Å, degrees): 3.553 4.767 7.130 90.00 90.00 90.00
Space group Cmmm (No. 65)
Inequivalent atoms, fractional coordinates:
Li: 0.000 0.000 0.223
Pt: 0.000 0.500 0.500
Cl: 0.000 0.500 0.000



# 12
Entry from the Alexandria database: a relaxed Li2PtCl crystal (GGA-PBE).

## Properties
E_form (uncorrected)   -0.414 eV per atom
Fermi-level density of states   1.518 states/eV/f.u.
Raw total energy   -26.7 eV per cell
Volume   15.779 Å³ per atom
Crystal system   tetragonal

Lattice parameters (Å, degrees): 4.246 4.246 7.002 90.00 90.00 90.00
Space group I4/mmm (No. 139)
Inequivalent atoms, fractional coordinates:
Li: 0.000 0.500 0.250
Pt: 0.000 0.000 0.000
Cl: 0.000 0.000 0.500



# 13
Entry from the Alexandria database: a relaxed LiPt2Cl8 crystal (GGA-PBE).

## Properties
E_form (uncorrected)   -0.411 eV per atom
Fermi-level density of states   3.960 states/eV/f.u.
Raw total energy   -66.6 eV per cell
Volume   30.023 Å³ per atom
Crystal system   monoclinic

Lattice parameters (Å, degrees): 13.912 9.731 4.879 90.00 90.13 90.00
Space group C2/m (No. 12)
Inequivalent atoms, fractional coordinates:
Li: 0.000 0.000 0.000
Pt: 0.230 0.000 0.749
Cl: 0.105 0.158 0.753
Cl: 0.109 0.500 0.253
Cl: 0.213 0.000 0.250



# 14
Entry from the Alexandria database: a relaxed Li2PtCl crystal (GGA-PBE).

## Properties
E_form (uncorrected)   -0.508 eV per atom
Fermi-level density of states   3.376 states/eV/f.u.
Raw total energy   -27.5 eV per cell
Volume   21.821 Å³ per atom
Crystal system   orthorhombic

Lattice parameters (Å, degrees): 2.949 7.549 7.842 90.00 90.00 90.00
Space group Immm (No. 71)
Inequivalent atoms, fractional coordinates:
Li: 0.000 0.000 0.221
Pt: 0.000 0.500 0.000
Cl: 0.000 0.500 0.500



# 15
Entry from the Alexandria database: a relaxed LiPtCl6 crystal (GGA-PBE).

## Properties
E_form (uncorrected)   -0.638 eV per atom
Fermi-level density of states   6.825 states/eV/f.u.
Raw total energy   -48.3 eV per cell
Volume   28.609 Å³ per atom
Crystal system   monoclinic

Lattice parameters (Å, degrees): 7.510 11.356 6.169 90.00 119.54 90.00
Space group C2/m (No. 12)
Inequivalent atoms, fractional coordinates:
Li: 0.000 0.000 0.000
Pt: 0.000 0.500 0.500
Cl: 0.154 0.500 0.255
Cl: 0.236 0.356 0.755



# 16
Entry from the Alexandria database: a relaxed Li2PtCl crystal (GGA-PBE).

## Properties
E_form (uncorrected)   -0.386 eV per atom
Fermi-level density of states   2.534 states/eV/f.u.
Raw total energy   -53.0 eV per cell
Volume   15.786 Å³ per atom
Crystal system   cubic

Lattice parameters (Å, degrees): 6.321 6.321 6.321 90.00 90.00 90.00
Space group Fm-3m (No. 225)
Inequivalent atoms, fractional coordinates:
Li: 0.250 0.250 0.250
Pt: 0.000 0.000 0.000
Cl: 0.000 0.000 0.500



# 17
Entry from the Alexandria database: a relaxed Li2PtCl crystal (GGA-PBE).

## Properties
E_form (uncorrected)   -0.610 eV per atom
Fermi-level density of states   3.280 states/eV/f.u.
Raw total energy   -14.2 eV per cell
Volume   15.312 Å³ per atom
Crystal system   tetragonal

Lattice parameters (Å, degrees): 4.515 4.515 3.004 90.00 90.00 90.00
Space group P4/mmm (No. 123)
Inequivalent atoms, fractional coordinates:
Li: 0.000 0.500 0.000
Pt: 0.000 0.000 0.500
Cl: 0.500 0.500 0.500



# 18
Entry from the Alexandria database: a relaxed LiPtCl6 crystal (GGA-PBE).

## Properties
E_form (uncorrected)   -0.613 eV per atom
Fermi-level density of states   7.826 states/eV/f.u.
Raw total energy   -71.8 eV per cell
Volume   22.854 Å³ per atom
Crystal system   trigonal

Lattice parameters (Å, degrees): 6.2019 6.2019 16.4663 90.00 90.00 120.00
Space group R-3 (No. 148, hexagonal axes)
Inequivalent atoms, fractional coordinates:
Li: 0.0000 0.0000 0.0000
Pt: 0.0000 0.0000 0.5000
Cl: 0.0152 0.3181 0.4195



# 19
Entry from the Alexandria database: a relaxed Li2PtCl crystal (GGA-PBE).

## Properties
E_form (uncorrected)   -0.656 eV per atom
Fermi-level density of states   0.609 states/eV/f.u.
Raw total energy   -28.7 eV per cell
Volume   15.142 Å³ per atom
Crystal system   monoclinic

Lattice parameters (Å, degrees): 5.743 6.995 3.016 90.00 90.38 90.00
Space group C2/m (No. 12)
Inequivalent atoms, fractional coordinates:
Li: 0.250 0.250 0.000
Pt: 0.000 0.000 0.500
Cl: 0.000 0.500 0.500



# 20
Entry from the Alexandria database: a relaxed LiPt4Cl crystal (GGA-PBE).

## Properties
E_form (uncorrected)   0.163 eV per atom
Fermi-level density of states   11.943 states/eV/f.u.
Raw total energy   -107.8 eV per cell
Volume   17.975 Å³ per atom
Crystal system   cubic

Lattice parameters (Å, degrees): 7.556 7.556 7.556 90.00 90.00 90.00
Space group F-43m (No. 216)
Inequivalent atoms, fractional coordinates:
Li: 0.000 0.000 0.000
Pt: 0.126 0.126 0.626
Cl: 0.250 0.250 0.250



# 21
Entry from the Alexandria database: a relaxed Li2PtCl crystal (GGA-PBE).

## Properties
E_form (uncorrected)   -0.283 eV per atom
Fermi-level density of states   1.130 states/eV/f.u.
Raw total energy   -51.4 eV per cell
Volume   15.736 Å³ per atom
Crystal system   cubic

Lattice parameters (Å, degrees): 6.315 6.315 6.315 90.00 90.00 90.00
Space group F-43m (No. 216)
Inequivalent atoms, fractional coordinates:
Li: 0.000 0.000 0.000
Li: 0.250 0.250 0.250
Pt: 0.250 0.250 0.750
Cl: 0.000 0.000 0.500



# 22
Entry from the Alexandria database: a relaxed Li2PtCl crystal (GGA-PBE).

## Properties
E_form (uncorrected)   -0.851 eV per atom
Fermi-level density of states   1.143 states/eV/f.u.
Raw total energy   -15.1 eV per cell
Volume   14.981 Å³ per atom
Crystal system   monoclinic

Lattice parameters (Å, degrees): 2.941 2.953 6.900 90.00 90.15 90.00
Space group P2/m (No. 10)
Inequivalent atoms, fractional coordinates:
Li: 0.000 0.000 0.223
Pt: 0.500 0.500 0.500
Cl: 0.500 0.500 0.000



# 23
Entry from the Alexandria database: a relaxed Li2PtCl crystal (GGA-PBE).

## Properties
E_form (uncorrected)   -0.695 eV per atom
Fermi-level density of states   2.355 states/eV/f.u.
Raw total energy   -14.5 eV per cell
Volume   17.753 Å³ per atom
Crystal system   tetragonal

Lattice parameters (Å, degrees): 3.162 3.162 7.101 90.00 90.00 90.00
Space group P4mm (No. 99)
Inequivalent atoms, fractional coordinates:
Li: 0.000 0.000 0.000
Li: 0.500 0.500 0.252
Pt: 0.000 0.000 0.431
Cl: 0.500 0.500 0.921



# 24
Entry from the Alexandria database: a relaxed Li2PtCl crystal (GGA-PBE).

## Properties
E_form (uncorrected)   -0.611 eV per atom
Fermi-level density of states   1.455 states/eV/f.u.
Raw total energy   -28.3 eV per cell
Volume   16.172 Å³ per atom
Crystal system   orthorhombic

Lattice parameters (Å, degrees): 2.964 3.972 10.990 90.00 90.00 90.00
Space group Imm2 (No. 44)
Inequivalent atoms, fractional coordinates:
Li: 0.000 0.000 0.000
Li: 0.000 0.500 0.163
Pt: 0.000 0.500 0.734
Cl: 0.000 0.000 0.455



# 25
Entry from the Alexandria database: a relaxed Li2PtCl crystal (GGA-PBE).

## Properties
E_form (uncorrected)   -0.807 eV per atom
Fermi-level density of states   0.738 states/eV/f.u.
Raw total energy   -29.9 eV per cell
Volume   17.191 Å³ per atom
Crystal system   orthorhombic

Lattice parameters (Å, degrees): 4.286 4.299 7.464 90.00 90.00 90.00
Space group Cmm2 (No. 35)
Inequivalent atoms, fractional coordinates:
Li: 0.000 0.000 0.000
Li: 0.000 0.500 0.441
Pt: 0.000 0.500 0.793
Cl: 0.000 0.000 0.312



# 26
Entry from the Alexandria database: a relaxed Li4PtCl crystal (GGA-PBE).

## Properties
E_form (uncorrected)   -0.160 eV per atom
Fermi-level density of states   1.298 states/eV/f.u.
Raw total energy   -66.0 eV per cell
Volume   15.661 Å³ per atom
Crystal system   cubic

Lattice parameters (Å, degrees): 7.217 7.217 7.217 90.00 90.00 90.00
Space group F-43m (No. 216)
Inequivalent atoms, fractional coordinates:
Li: 0.124 0.124 0.124
Pt: 0.250 0.250 0.750
Cl: 0.000 0.000 0.500